[1]
A plane-wave DFT calculation with PBE was carried out for crystalline RbHI2 at its relaxed geometry.

Cell: 7.969 9.653 9.654 Å, 90.00 109.14 90.00°
Positions (direct):
Rb: 0.835 0.955 0.705
Rb: 0.835 0.545 0.205
I: 0.580 0.857 0.268
I: 0.420 0.143 0.732
I: 0.420 0.357 0.232
I: 0.896 0.252 0.972
H: 0.636 0.200 0.844
I: 0.580 0.643 0.768
I: 0.896 0.248 0.472
H: 0.364 0.700 0.656
Rb: 0.165 0.045 0.295
I: 0.104 0.752 0.528
H: 0.636 0.300 0.344
H: 0.364 0.800 0.156
Rb: 0.165 0.455 0.795
I: 0.104 0.748 0.028

Properties
distance to the lowest polymorph of the same formula	0.000	eV per atom
E	-2.59	eV per atom
volume	702	Å³ per cell
magnetic moment	0.00	μB/f.u.
SG	P2_1/c (14)



[2]
A plane-wave DFT calculation with PBE was carried out for crystalline Ce3NdO4 at its relaxed geometry.

Cell: 6.116 6.117 7.083 Å, 90.00 90.00 109.59°
Positions (direct):
Ce: 0.250 0.000 0.624
Ce: 0.750 0.000 0.376
Ce: 0.250 0.500 0.376
O: 0.999 0.750 0.375
O: 0.000 0.253 0.126
O: 0.501 0.250 0.375
Nd: 0.750 0.000 0.874
Ce: 0.250 0.500 0.874
Nd: 0.250 0.000 0.126
O: 0.500 0.253 0.874
O: 0.001 0.250 0.625
Ce: 0.750 0.500 0.126
O: 0.499 0.750 0.625
Ce: 0.750 0.500 0.624
O: 0.500 0.747 0.126
O: 0.000 0.747 0.874

Properties
E	-8.14	eV per atom
volume	250	Å³ per cell
uncorrected formation energy	-2839	meV per atom
magnetic moment	0.00	μB/f.u.
SG	P2/c (13)



[3]
A plane-wave DFT calculation with PBE was carried out for crystalline AcZn2Ga at its relaxed geometry.

Cell: 5.071 5.071 5.071 Å, 60.00 60.00 60.00°
Positions (direct):
Zn: 0.250 0.250 0.250
Ac: 0.500 0.500 0.500
Zn: 0.750 0.750 0.750
Ga: 0.000 0.000 0.000

Properties
E	-2.63	eV per atom
volume	92	Å³ per cell
calculated formation energy	-0.212	eV per atom
magnetic moment	0.00	μB/f.u.
SG	Fm-3m (225)



[4]
A plane-wave DFT calculation with PBE was carried out for crystalline LiRuNO2 at its relaxed geometry.

Cell: 3.468 3.468 3.587 Å, 90.00 90.00 90.00°
Positions (direct):
O: 0.500 0.000 0.000
Li: 0.000 0.000 0.000
N: 0.000 0.000 0.500
O: 0.000 0.500 0.000
Ru: 0.500 0.500 0.500

Properties
E	-5.02	eV per atom
volume	43	Å³ per cell
uncorrected formation energy	862	meV per atom
magnetic moment	0.00	μB/f.u.
SG	P4/mmm (123)



[5]
A plane-wave DFT calculation with PBE was carried out for crystalline SbOF3 at its relaxed geometry.

Cell: 5.509 5.509 5.509 Å, 139.58 135.95 61.32°
Positions (direct):
F: 0.500 0.000 0.500
F: 0.199 0.199 0.000
Sb: 0.000 0.000 0.000
F: 0.801 0.801 0.000
O: 0.000 0.500 0.500

Properties
distance to the lowest polymorph of the same formula	0.050	eV per atom
E	-4.84	eV per atom
volume	75	Å³ per cell
uncorrected formation energy	-1906	meV per atom
magnetic moment	0.00	μB/f.u.
SG	Immm (71)



[6]
A plane-wave DFT calculation with PBE was carried out for crystalline RbPrReN3 at its relaxed geometry.

Cell: 3.958 7.232 8.251 Å, 104.41 90.00 105.88°
Positions (direct):
N: 0.846 0.693 0.626
N: 0.128 0.257 0.783
Pr: 0.338 0.676 0.415
Rb: 0.362 0.723 0.932
Re: 0.006 0.012 0.340
N: 0.872 0.743 0.217
N: 0.154 0.307 0.374
Pr: 0.662 0.324 0.585
N: 0.489 0.979 0.662
N: 0.511 0.021 0.338
Rb: 0.638 0.277 0.068
Re: 0.994 0.988 0.660

Properties
E	-7.65	eV per atom
volume	219	Å³ per cell
uncorrected formation energy	-455	meV per atom
magnetic moment	0.00	μB/f.u.
SG	C2/m (12)



[7]
A plane-wave DFT calculation with PBE was carried out for crystalline PuPaS6 at its relaxed geometry.

Cell: 7.272 7.272 7.272 Å, 60.00 60.00 60.00°
Positions (direct):
Pu: 0.000 0.000 0.000
Pa: 0.500 0.500 0.500
S: 0.246 0.754 0.754
S: 0.754 0.754 0.246
S: 0.754 0.246 0.246
S: 0.754 0.246 0.754
S: 0.246 0.754 0.246
S: 0.246 0.246 0.754

Properties
E	-6.87	eV per atom
volume	272	Å³ per cell
uncorrected formation energy	-794	meV per atom
magnetic moment	1.45	μB/f.u.
SG	Fm-3m (225)



[8]
A plane-wave DFT calculation with PBE was carried out for crystalline HfFe2Co at its relaxed geometry.

Cell: 4.091 3.632 3.632 Å, 90.00 90.00 90.00°
Positions (direct):
Hf: 0.500 0.500 0.500
Fe: 0.000 0.000 0.500
Fe: 0.000 0.500 0.000
Co: 0.500 0.000 0.000

Properties
E	-8.62	eV per atom
volume	54	Å³ per cell
calculated formation energy	-0.123	eV per atom
magnetic moment	4.77	μB/f.u.
SG	P4/mmm (123)



[9]
A plane-wave DFT calculation with PBE was carried out for crystalline TlAgBrF2 at its relaxed geometry.

Cell: 4.552 4.552 5.279 Å, 90.00 90.00 90.00°
Positions (direct):
Tl: 0.500 0.500 0.500
F: 0.500 0.000 0.000
F: 0.000 0.500 0.000
Br: 0.000 0.000 0.500
Ag: 0.000 0.000 0.000

Properties
E	-3.18	eV per atom
volume	109	Å³ per cell
uncorrected formation energy	-1058	meV per atom
magnetic moment	0.00	μB/f.u.
SG	P4/mmm (123)



[10]
A plane-wave DFT calculation with PBE was carried out for crystalline ZrRe2Sb at its relaxed geometry.

Cell: 4.543 3.065 5.323 Å, 77.67 90.00 90.00°
Positions (direct):
Re: 0.500 0.335 0.214
Sb: 0.000 0.360 0.504
Re: 0.000 0.011 0.043
Zr: 0.500 0.794 0.738

Properties
E	-9.25	eV per atom
volume	72	Å³ per cell
uncorrected formation energy	145	meV per atom
magnetic moment	0.00	μB/f.u.
SG	Pm (6)



[11]
A plane-wave DFT calculation with PBE was carried out for crystalline NbIn2F4 at its relaxed geometry.

Cell: 4.226 4.226 9.304 Å, 76.87 76.87 90.00°
Positions (direct):
Nb: 0.000 0.000 0.000
F: 0.115 0.115 0.770
F: 0.000 0.500 0.000
F: 0.500 0.000 0.000
In: 0.751 0.751 0.499
In: 0.249 0.249 0.501
F: 0.885 0.885 0.230

Properties
E	-5.24	eV per atom
volume	157	Å³ per cell
uncorrected formation energy	-1947	meV per atom
magnetic moment	1.63	μB/f.u.
SG	I4/mmm (139)



[12]
A plane-wave DFT calculation with PBE was carried out for crystalline MnTc2Ag at its relaxed geometry.

Cell: 6.973 6.973 5.570 Å, 51.25 51.25 90.00°
Positions (direct):
Tc: 0.375 0.436 0.750
Mn: 0.250 0.750 0.500
Ag: 0.000 0.000 0.000
Ag: 0.750 0.250 0.500
Tc: 0.875 0.814 0.750
Tc: 0.186 0.625 0.250
Tc: 0.564 0.125 0.250
Mn: 0.500 0.500 0.000

Properties
distance to the lowest polymorph of the same formula	0.481	eV per atom
E	-7.46	eV per atom
volume	126	Å³ per cell
calculated formation energy	0.727	eV per atom
magnetic moment	0.00	μB/f.u.
SG	I-42d (122)



[13]
A plane-wave DFT calculation with PBE was carried out for crystalline SmHo2Si at its relaxed geometry.

Cell: 4.641 4.653 4.653 Å, 90.00 90.00 90.00°
Positions (direct):
Si: 0.500 0.500 0.500
Ho: 0.000 0.500 0.000
Ho: 0.000 0.000 0.500
Sm: 0.500 0.000 0.000

Properties
distance to the lowest polymorph of the same formula	0.000	eV per atom
E	-5.07	eV per atom
volume	100	Å³ per cell
uncorrected formation energy	-250	meV per atom
magnetic moment	0.00	μB/f.u.
SG	P4/mmm (123)



[14]
A plane-wave DFT calculation with PBE was carried out for crystalline TaSiO3 at its relaxed geometry.

Cell: 3.606 3.606 3.606 Å, 90.00 90.00 90.00°
Positions (direct):
O: 0.000 0.000 0.500
O: 0.500 0.000 0.000
Ta: 0.500 0.500 0.500
O: 0.000 0.500 0.000
Si: 0.000 0.000 0.000

Properties
E	-7.46	eV per atom
volume	47	Å³ per cell
uncorrected formation energy	-1029	meV per atom
magnetic moment	2.58	μB/f.u.
SG	Pm-3m (221)



[15]
A plane-wave DFT calculation with PBE was carried out for crystalline Ce2AgPt at its relaxed geometry.

Cell: 4.101 4.101 7.915 Å, 74.99 74.99 60.00°
Positions (direct):
Ce: 0.740 0.740 0.780
Pt: 0.000 0.000 0.000
Ag: 0.500 0.500 0.500
Ce: 0.260 0.260 0.220

Properties
E	-5.66	eV per atom
volume	110	Å³ per cell
calculated formation energy	-0.475	eV per atom
magnetic moment	1.85	μB/f.u.
SG	R-3m (166)



[16]
A plane-wave DFT calculation with PBE was carried out for crystalline SrBeSiIr at its relaxed geometry.

Cell: 4.070 4.070 6.056 Å, 70.36 70.36 60.00°
Positions (direct):
Ir: 0.625 0.625 0.125
Be: 0.291 0.291 0.128
Sr: 0.812 0.812 0.564
Si: 0.998 0.998 0.005

Properties
E	-5.46	eV per atom
volume	80	Å³ per cell
uncorrected formation energy	-533	meV per atom
magnetic moment	0.00	μB/f.u.
SG	R3m (160)



[17]
A plane-wave DFT calculation with PBE was carried out for crystalline Fe2SbRh at its relaxed geometry.

Cell: 4.604 4.604 4.604 Å, 128.78 128.80 75.35°
Positions (direct):
Fe: 0.000 0.000 0.000
Fe: 0.250 0.750 0.500
Rh: 0.500 0.500 0.000
Sb: 0.750 0.250 0.500

Properties
E	-7.13	eV per atom
volume	58	Å³ per cell
uncorrected formation energy	-29	meV per atom
magnetic moment	4.82	μB/f.u.
SG	I-4m2 (119)



[18]
A plane-wave DFT calculation with PBE was carried out for crystalline LiCdAg2 at its relaxed geometry.

Cell: 3.908 3.084 6.812 Å, 61.37 90.00 90.00°
Positions (direct):
Cd: 0.000 0.492 0.504
Ag: 0.000 0.016 0.988
Ag: 0.500 0.257 0.244
Li: 0.500 0.735 0.764

Properties
E	-2.29	eV per atom
volume	72	Å³ per cell
calculated formation energy	-0.154	eV per atom
magnetic moment	0.00	μB/f.u.
SG	Pm (6)



[19]
A plane-wave DFT calculation with PBE was carried out for crystalline LaTcBr2 at its relaxed geometry.

Cell: 7.318 7.318 7.318 Å, 150.47 142.13 48.74°
Positions (direct):
La: 0.750 0.250 0.500
Br: 0.107 0.107 0.000
Tc: 0.250 0.750 0.500
Br: 0.393 0.393 0.000

Properties
distance to the lowest polymorph of the same formula	0.000	eV per atom
E	-5.22	eV per atom
volume	118	Å³ per cell
uncorrected formation energy	-561	meV per atom
magnetic moment	0.00	μB/f.u.
SG	Immm (71)



[20]
A plane-wave DFT calculation with PBE was carried out for crystalline KSiMo2 at its relaxed geometry.

Cell: 6.008 6.008 5.569 Å, 70.11 70.11 25.38°
Positions (direct):
Mo: 0.450 0.450 0.586
Si: 0.750 0.750 0.750
K: 0.250 0.250 0.250
Mo: 0.050 0.050 0.914

Properties
E	-6.30	eV per atom
volume	81	Å³ per cell
uncorrected formation energy	744	meV per atom
magnetic moment	0.00	μB/f.u.
SG	C2/m (12)



[21]
A plane-wave DFT calculation with PBE was carried out for crystalline MnFeIr6 at its relaxed geometry.

Cell: 3.828 3.828 7.637 Å, 90.00 90.00 90.00°
Positions (direct):
Ir: 0.500 0.500 0.000
Ir: 0.500 0.500 0.500
Fe: 0.000 0.000 0.000
Ir: 0.000 0.500 0.251
Ir: 0.500 0.000 0.749
Ir: 0.000 0.500 0.749
Mn: 0.000 0.000 0.500
Ir: 0.500 0.000 0.251

Properties
E	-8.94	eV per atom
volume	112	Å³ per cell
calculated formation energy	-0.090	eV per atom
magnetic moment	5.10	μB/f.u.
SG	P4/mmm (123)



[22]
A plane-wave DFT calculation with PBE was carried out for crystalline Ac2SeN at its relaxed geometry.

Cell: 4.073 4.073 7.590 Å, 90.01 105.54 120.01°
Positions (direct):
Ac: 0.470 0.735 0.205
Se: 0.000 0.500 0.500
Ac: 0.530 0.265 0.795
N: 0.000 0.000 0.000

Properties
distance to the lowest polymorph of the same formula	0.000	eV per atom
E	-6.49	eV per atom
volume	104	Å³ per cell
uncorrected formation energy	-1479	meV per atom
magnetic moment	0.00	μB/f.u.
SG	R-3m (166)



[23]
A plane-wave DFT calculation with PBE was carried out for crystalline AcPmDyHo at its relaxed geometry.

Cell: 3.694 3.691 12.124 Å, 90.01 98.74 119.97°
Positions (direct):
Ho: 0.303 0.549 0.870
Dy: 0.130 0.963 0.105
Pm: 0.479 0.137 0.631
Ac: 0.966 0.381 0.364

Properties
distance to the lowest polymorph of the same formula	0.000	eV per atom
E	-4.45	eV per atom
volume	141	Å³ per cell
calculated formation energy	0.061	eV per atom
magnetic moment	0.00	μB/f.u.
SG	Cm (8)



[24]
A plane-wave DFT calculation with PBE was carried out for crystalline SrGe2F11 at its relaxed geometry.

Cell: 9.864 8.514 8.514 Å, 63.87 54.60 54.60°
Positions (direct):
F: 0.660 0.399 0.601
Ge: 0.761 0.241 0.759
F: 0.414 0.437 0.563
F: 0.308 0.265 0.493
F: 0.840 0.899 0.101
F: 0.242 0.572 0.188
F: 0.498 0.072 0.688
F: 0.937 0.509 0.257
F: 0.134 0.155 0.845
Sr: 0.750 0.745 0.755
F: 0.797 0.009 0.757
F: 0.366 0.655 0.345
F: 0.003 0.171 0.594
F: 0.497 0.906 0.329
F: 0.563 0.243 0.991
F: 0.703 0.743 0.491
F: 0.002 0.812 0.428
Sr: 0.250 0.245 0.255
Ge: 0.219 0.787 0.213
Ge: 0.739 0.741 0.259
F: 0.086 0.937 0.063
F: 0.732 0.671 0.094
F: 0.066 0.507 0.735
F: 0.192 0.007 0.235
F: 0.434 0.765 0.993
F: 0.258 0.312 0.928
Ge: 0.281 0.287 0.713
F: 0.768 0.406 0.829

Properties
E	-4.79	eV per atom
volume	469	Å³ per cell
uncorrected formation energy	-2536	meV per atom
magnetic moment	1.04	μB/f.u.
SG	Ima2 (46)



[25]
A plane-wave DFT calculation with PBE was carried out for crystalline Ca3Pm3CdTe8 at its relaxed geometry.

Cell: 8.923 8.923 8.988 Å, 119.77 90.00 120.00°
Positions (direct):
Te: 0.248 0.002 0.255
Te: 0.752 0.998 0.745
Te: 0.250 0.499 0.249
Pm: 0.500 0.000 0.500
Te: 0.753 0.507 0.255
Te: 0.750 0.501 0.751
Te: 0.753 0.002 0.255
Te: 0.247 0.998 0.745
Ca: 0.500 0.500 0.000
Cd: 0.000 0.000 0.500
Ca: 0.000 0.500 0.000
Ca: 0.000 0.000 0.000
Te: 0.247 0.493 0.745
Pm: 0.500 0.500 0.500
Pm: 0.000 0.500 0.500

Properties
E	-4.42	eV per atom
volume	508	Å³ per cell
uncorrected formation energy	-1334	meV per atom
magnetic moment	0.00	μB/f.u.
SG	R-3m (166)